VASP calculation (GGA-PBE) on Sn2SbPd3 after structural relaxation.

Output
spin magnetization: 0.0 Bohr magnetons per cell
final energy: -5.056 eV per atom
raw formation energy: -0.438 eV/atom

POSCAR file:
```
Sn2SbPd3
1.0
7.157 0.000 0.000
0.000 4.131 0.000
-0.682 0.000 8.310
Sn Sb Pd
4 2 6
direct
0.039 0.250 0.334
0.315 0.250 0.050
0.685 0.750 0.950
0.961 0.750 0.666
0.413 0.250 0.641
0.587 0.750 0.359
0.064 0.750 0.114
0.241 0.750 0.462
0.304 0.750 0.831
0.696 0.250 0.169
0.759 0.250 0.538
0.936 0.250 0.886
```